Sr2AlRu2: relaxed, PBE.

a = 6.803 Å, b = 6.803 Å, c = 4.973 Å
α = 90.00°, β = 90.00°, γ = 90.00°
Positions (direct):
Sr1 0.178 0.322 0.000
Sr2 0.322 0.822 0.000
Sr3 0.678 0.178 0.000
Sr4 0.822 0.678 0.000
Al1 0.000 0.000 0.500
Al2 0.500 0.500 0.500
Ru1 0.127 0.627 0.500
Ru2 0.373 0.127 0.500
Ru3 0.627 0.873 0.500
Ru4 0.873 0.373 0.500

Results
Energy of formation   10.0 kJ per mole of atoms
Total magnetic moment   2.2 μB per cell
Volume   115.1 Å³/f.u.

SrAlRu2: relaxed, PBE.

a = 3.190 Å, b = 4.413 Å, c = 5.133 Å
α = 90.00°, β = 90.00°, γ = 90.00°
Positions (direct):
Sr1 0.000 0.000 0.000
Al1 0.500 0.000 0.500
Ru1 0.000 0.500 0.500
Ru2 0.500 0.500 0.000

Results
Energy of formation   52.7 kJ per mole of atoms
Total magnetic moment   0.0 μB per cell
Volume   72.3 Å³/f.u.

Look up the total magnetic moment of the second one. 0.0 μB per cell